Re2SbP after structural relaxation. Source: Alexandria via LeMat-Bulk, functional PBE.

Computed properties:
**ΔE to the lowest computed polymorph**: 0.78 eV/f.u.
**DOS(E_F)**: 2.8 states/eV/cell
**Energy**: -8.291 eV per atom
**ΔE_f (raw)**: 1.26 eV/f.u.
**Space-group type**: No. 123
**V**: 15.4 A^3/atom

Cell and atoms, written as POSCAR:
```
Re2SbP
1.0
-0.473 -2.322 1.977
2.399 -1.518 -1.209
3.942 2.831 4.269
Sb Re P
1 2 1
direct
0.500 0.500 0.000 Sb
0.000 0.000 0.715 Re
0.000 0.000 0.285 Re
0.500 0.500 0.500 P
```